Entry from Alexandria: a relaxed MnNbPO2 crystal (PBE+U).

It has space group P4/mmm (No. 123), with a = 3.914 Å, b = 3.914 Å, c = 5.287 Å, α = 90.00°, β = 90.00° and γ = 90.00°. The inequivalent atoms are Mn at (0.000, 0.000, 0.000), Nb at (0.500, 0.500, 0.500), P at (0.500, 0.500, 0.000) and O at (0.000, 0.500, 0.500).

Its energy above the most stable polymorph in this dataset is 0 kJ/mol of formula units. Its density of states at the Fermi level is 0.1038 states/eV per atom.